Arrangement A

# RbCuGeTe3

RbCuGeTe3 after structural relaxation (PBE, OQMD via LeMat-Bulk).

Unit cell a=9.299 b=4.210 c=10.834 alpha=90.00 beta=114.14 gamma=90.00
Atoms (fractional coordinates):
Rb 0.760 0.250 0.795
Rb 0.240 0.750 0.205
Ge 0.821 0.750 0.360
Ge 0.179 0.250 0.640
Te 0.398 0.750 0.669
Te 0.956 0.750 0.636
Te 0.044 0.250 0.364
Te 0.602 0.250 0.331
Te 0.737 0.750 0.076
Te 0.263 0.250 0.924
Cu 0.560 0.250 0.077
Cu 0.440 0.750 0.923

Computed properties:
Calculated density ... 5.19 g/cm³
V ... 32.26 A^3/atom


Arrangement B

# RbCuGeTe3

RbCuGeTe3 after structural relaxation (PBE, OQMD via LeMat-Bulk).

Unit cell a=12.543 b=4.397 c=13.948 alpha=90.00 beta=90.00 gamma=90.00
Atoms (fractional coordinates):
Cu 0.222 0.750 0.338
Cu 0.722 0.750 0.162
Cu 0.778 0.250 0.662
Cu 0.278 0.250 0.838
Ge 0.064 0.750 0.745
Ge 0.936 0.250 0.255
Ge 0.436 0.250 0.245
Ge 0.564 0.750 0.755
Rb 0.227 0.750 0.050
Rb 0.727 0.750 0.450
Rb 0.273 0.250 0.550
Rb 0.773 0.250 0.950
Te 0.424 0.750 0.373
Te 0.040 0.750 0.435
Te 0.460 0.250 0.935
Te 0.960 0.250 0.565
Te 0.924 0.750 0.127
Te 0.343 0.750 0.761
Te 0.657 0.250 0.239
Te 0.843 0.750 0.739
Te 0.576 0.250 0.627
Te 0.076 0.250 0.873
Te 0.540 0.750 0.065
Te 0.157 0.250 0.261

Computed properties:
Calculated density ... 5.22 g/cm³
V ... 32.05 A^3/atom


Tell me which of them is the least stable. Sure, it is arrangement A.


Arrangement A

# CuReGeTe

CuReGeTe after structural relaxation (PBE, OQMD via LeMat-Bulk).

Unit cell a=4.601 b=4.601 c=4.601 alpha=60.00 beta=60.00 gamma=60.00
Atoms (fractional coordinates):
Cu 0.750 0.750 0.750
Ge 0.250 0.250 0.250
Re 0.500 0.500 0.500
Te 0.000 0.000 0.000

Computed properties:
Total moment ... 0.0 μB per formula unit
Calculated density ... 10.85 g/cm³
V ... 17.21 A^3/atom


Arrangement B

# CuReGeTe

CuReGeTe after structural relaxation (PBE, OQMD via LeMat-Bulk).

Unit cell a=4.566 b=4.566 c=4.566 alpha=60.00 beta=60.00 gamma=60.00
Atoms (fractional coordinates):
Re 0.250 0.250 0.250
Ge 0.500 0.500 0.500
Cu 0.750 0.750 0.750
Te 0.000 0.000 0.000

Computed properties:
Total moment ... 0.1 μB per formula unit
Calculated density ... 11.10 g/cm³
V ... 16.83 A^3/atom


Tell me which of them is the least stable. Sure, it is arrangement A.


Arrangement A

# YCuReGe

YCuReGe after structural relaxation (PBE, OQMD via LeMat-Bulk).

Unit cell a=4.588 b=4.588 c=4.588 alpha=60.00 beta=60.00 gamma=60.00
Atoms (fractional coordinates):
Cu 0.750 0.750 0.750
Y 0.500 0.500 0.500
Ge 0.000 0.000 0.000
Re 0.250 0.250 0.250

Computed properties:
Total moment ... 0.0 μB per formula unit
Calculated density ... 10.00 g/cm³
V ... 17.07 A^3/atom


Arrangement B

# YCuReGe

YCuReGe after structural relaxation (PBE, OQMD via LeMat-Bulk).

Unit cell a=4.661 b=4.661 c=4.661 alpha=60.00 beta=60.00 gamma=60.00
Atoms (fractional coordinates):
Re 0.500 0.500 0.500
Ge 0.000 0.000 0.000
Cu 0.750 0.750 0.750
Y 0.250 0.250 0.250

Computed properties:
Total moment ... 0.0 μB per formula unit
Calculated density ... 9.54 g/cm³
V ... 17.91 A^3/atom


Tell me which of them is the least stable. Sure, it is arrangement B.


Arrangement A

# ZnCuReGe

ZnCuReGe after structural relaxation (PBE, OQMD via LeMat-Bulk).

Unit cell a=4.341 b=4.341 c=4.341 alpha=60.00 beta=60.00 gamma=60.00
Atoms (fractional coordinates):
Re 0.500 0.500 0.500
Cu 0.750 0.750 0.750
Ge 0.000 0.000 0.000
Zn 0.250 0.250 0.250

Computed properties:
Total moment ... 0.0 μB per formula unit
Calculated density ... 11.14 g/cm³
V ... 14.46 A^3/atom


Arrangement B

# ZnCuReGe

ZnCuReGe after structural relaxation (PBE, OQMD via LeMat-Bulk).

Unit cell a=4.311 b=4.311 c=4.311 alpha=60.00 beta=60.00 gamma=60.00
Atoms (fractional coordinates):
Zn 0.500 0.500 0.500
Cu 0.750 0.750 0.750
Re 0.250 0.250 0.250
Ge 0.000 0.000 0.000

Computed properties:
Total moment ... 0.0 μB per formula unit
Calculated density ... 11.37 g/cm³
V ... 14.16 A^3/atom


Tell me which of them is the least stable. Sure, it is arrangement A.


Arrangement A

# TlCu3GeS4

TlCu3GeS4 after structural relaxation (PBE, OQMD via LeMat-Bulk).

Unit cell a=5.716 b=7.215 c=9.521 alpha=90.00 beta=106.05 gamma=90.00
Atoms (fractional coordinates):
S 0.310 0.250 0.082
S 0.150 0.007 0.715
S 0.150 0.493 0.715
S 0.469 0.750 0.497
S 0.690 0.750 0.918
S 0.531 0.250 0.503
S 0.850 0.507 0.285
S 0.850 0.993 0.285
Cu 0.805 0.938 0.531
Cu 0.942 0.750 0.778
Cu 0.805 0.562 0.531
Cu 0.195 0.438 0.469
Cu 0.058 0.250 0.222
Cu 0.195 0.062 0.469
Ge 0.617 0.250 0.283
Ge 0.383 0.750 0.717
Tl 0.674 0.250 0.886
Tl 0.326 0.750 0.114

Computed properties:
Calculated density ... 5.24 g/cm³
V ... 20.97 A^3/atom


Arrangement B

# TlCu3GeS4

TlCu3GeS4 after structural relaxation (PBE, OQMD via LeMat-Bulk).

Unit cell a=5.853 b=5.853 c=5.853 alpha=90.00 beta=90.00 gamma=90.00
Atoms (fractional coordinates):
Cu 0.500 0.000 0.000
Cu 0.000 0.000 0.500
Cu 0.000 0.500 0.000
S 0.779 0.779 0.779
S 0.221 0.221 0.779
S 0.221 0.779 0.221
S 0.779 0.221 0.221
Ge 0.000 0.000 0.000
Tl 0.500 0.500 0.500

Computed properties:
Calculated density ... 4.93 g/cm³
V ... 22.28 A^3/atom


Tell me which of them is the least stable. Sure, it is arrangement B.


Arrangement A

# TlCuGeS3

TlCuGeS3 after structural relaxation (PBE, OQMD via LeMat-Bulk).

Unit cell a=7.848 b=3.731 c=9.569 alpha=90.00 beta=111.75 gamma=90.00
Atoms (fractional coordinates):
Tl 0.742 0.750 0.206
Tl 0.258 0.250 0.794
S 0.450 0.750 0.627
S 0.893 0.750 0.658
S 0.107 0.250 0.342
S 0.757 0.250 0.915
S 0.550 0.250 0.373
S 0.243 0.750 0.085
Cu 0.936 0.750 0.912
Cu 0.064 0.250 0.088
Ge 0.679 0.250 0.641
Ge 0.321 0.750 0.359

Computed properties:
Calculated density ... 5.57 g/cm³
V ... 21.68 A^3/atom


Arrangement B

# TlCuGeS3

TlCuGeS3 after structural relaxation (PBE, OQMD via LeMat-Bulk).

Unit cell a=6.946 b=6.946 c=10.126 alpha=90.00 beta=90.00 gamma=29.94
Atoms (fractional coordinates):
S 0.373 0.373 0.032
S 0.974 0.974 0.750
S 0.373 0.373 0.468
S 0.627 0.627 0.532
S 0.026 0.026 0.250
S 0.627 0.627 0.968
Cu 0.408 0.408 0.250
Cu 0.592 0.592 0.750
Tl 0.281 0.281 0.750
Tl 0.719 0.719 0.250
Ge 0.000 0.000 0.000
Ge 0.000 0.000 0.500

Computed properties:
Calculated density ... 5.95 g/cm³
V ... 20.32 A^3/atom


Tell me which of them is the least stable. Sure, it is arrangement B.


Arrangement A

# Sc3Cu4Si2Ge2

Sc3Cu4Si2Ge2 after structural relaxation (PBE, OQMD via LeMat-Bulk).

Unit cell a=7.650 b=7.650 c=7.650 alpha=149.62 beta=129.84 gamma=59.77
Atoms (fractional coordinates):
Sc 0.500 0.500 0.000
Sc 0.874 0.374 0.500
Sc 0.126 0.626 0.500
Ge 0.717 0.717 0.000
Ge 0.283 0.283 0.000
Si 0.185 0.000 0.185
Si 0.815 0.000 0.815
Cu 0.528 0.834 0.694
Cu 0.139 0.834 0.306
Cu 0.472 0.166 0.306
Cu 0.861 0.166 0.694

Computed properties:
Total moment ... 0.0 μB per formula unit
Calculated density ... 5.69 g/cm³
V ... 15.68 A^3/atom


Arrangement B

# Sc3Cu4Si2Ge2

Sc3Cu4Si2Ge2 after structural relaxation (PBE, OQMD via LeMat-Bulk).

Unit cell a=7.644 b=7.644 c=7.644 alpha=149.87 beta=129.74 gamma=59.73
Atoms (fractional coordinates):
Si 0.783 0.283 0.500
Si 0.217 0.717 0.500
Sc 0.627 0.627 0.000
Sc 0.373 0.373 0.000
Sc 0.000 0.500 0.500
Cu 0.982 0.176 0.806
Cu 0.370 0.176 0.194
Cu 0.630 0.824 0.806
Cu 0.018 0.824 0.194
Ge 0.305 0.000 0.305
Ge 0.695 0.000 0.695

Computed properties:
Total moment ... 0.0 μB per formula unit
Calculated density ... 5.73 g/cm³
V ... 15.55 A^3/atom


Tell me which of them is the least stable. Sure, it is arrangement A.


Arrangement A

# Tm2ScCu4Si2Ge2

Tm2ScCu4Si2Ge2 after structural relaxation (PBE, OQMD via LeMat-Bulk).

Unit cell a=7.805 b=7.805 c=7.805 alpha=149.69 beta=130.88 gamma=58.81
Atoms (fractional coordinates):
Tm 0.371 0.871 0.500
Tm 0.629 0.129 0.500
Ge 0.700 0.500 0.200
Ge 0.300 0.500 0.800
Cu 0.367 0.674 0.692
Cu 0.018 0.326 0.692
Cu 0.633 0.326 0.308
Cu 0.982 0.674 0.308
Si 0.786 0.786 0.000
Si 0.214 0.214 0.000
Sc 0.000 0.000 0.000

Computed properties:
Total moment ... 0.0 μB per formula unit
Calculated density ... 7.73 g/cm³
V ... 16.37 A^3/atom


Arrangement B

# Tm2ScCu4Si2Ge2

Tm2ScCu4Si2Ge2 after structural relaxation (PBE, OQMD via LeMat-Bulk).

Unit cell a=7.787 b=7.787 c=7.787 alpha=149.32 beta=130.82 gamma=59.09
Atoms (fractional coordinates):
Cu 0.356 0.664 0.692
Cu 0.972 0.664 0.308
Cu 0.028 0.336 0.692
Cu 0.644 0.336 0.308
Tm 0.371 0.871 0.500
Tm 0.629 0.129 0.500
Ge 0.786 0.786 0.000
Ge 0.214 0.214 0.000
Si 0.312 0.500 0.812
Si 0.688 0.500 0.188
Sc 0.000 0.000 0.000

Computed properties:
Total moment ... 0.0 μB per formula unit
Calculated density ... 7.70 g/cm³
V ... 16.45 A^3/atom


Tell me which of them is the least stable. Sure, it is arrangement B.


Arrangement A

# YSc2Cu4Si2Ge2

YSc2Cu4Si2Ge2 after structural relaxation (PBE, OQMD via LeMat-Bulk).

Unit cell a=7.732 b=7.732 c=7.732 alpha=149.84 beta=129.43 gamma=60.02
Atoms (fractional coordinates):
Cu 0.360 0.666 0.693
Cu 0.973 0.666 0.307
Cu 0.027 0.334 0.693
Cu 0.640 0.334 0.307
Sc 0.625 0.125 0.500
Sc 0.375 0.875 0.500
Y 0.000 0.000 0.000
Ge 0.778 0.778 0.000
Ge 0.222 0.222 0.000
Si 0.321 0.500 0.821
Si 0.679 0.500 0.179

Computed properties:
Total moment ... 0.0 μB per formula unit
Calculated density ... 5.92 g/cm³
V ... 16.18 A^3/atom


Arrangement B

# YSc2Cu4Si2Ge2

YSc2Cu4Si2Ge2 after structural relaxation (PBE, OQMD via LeMat-Bulk).

Unit cell a=7.725 b=7.725 c=7.725 alpha=150.03 beta=129.27 gamma=60.05
Atoms (fractional coordinates):
Ge 0.688 0.500 0.188
Ge 0.312 0.500 0.812
Y 0.000 0.000 0.000
Cu 0.369 0.676 0.693
Cu 0.631 0.324 0.307
Cu 0.016 0.324 0.693
Cu 0.984 0.676 0.307
Sc 0.373 0.873 0.500
Sc 0.627 0.127 0.500
Si 0.779 0.779 0.000
Si 0.221 0.221 0.000

Computed properties:
Total moment ... 0.0 μB per formula unit
Calculated density ... 5.96 g/cm³
V ... 16.08 A^3/atom


Tell me which of them is the least stable. Sure, it is arrangement A.


Arrangement A

# ScZnCuGe

ScZnCuGe after structural relaxation (PBE, OQMD via LeMat-Bulk).

Unit cell a=4.498 b=4.498 c=4.498 alpha=60.00 beta=60.00 gamma=60.00
Atoms (fractional coordinates):
Sc 0.500 0.500 0.500
Cu 0.250 0.250 0.250
Zn 0.750 0.750 0.750
Ge 0.000 0.000 0.000

Computed properties:
Total moment ... 0.0 μB per formula unit
Calculated density ... 6.36 g/cm³
V ... 16.09 A^3/atom


Arrangement B

# ScZnCuGe

ScZnCuGe after structural relaxation (PBE, OQMD via LeMat-Bulk).

Unit cell a=4.515 b=4.515 c=4.515 alpha=60.00 beta=60.00 gamma=60.00
Atoms (fractional coordinates):
Ge 0.000 0.000 0.000
Zn 0.500 0.500 0.500
Cu 0.250 0.250 0.250
Sc 0.750 0.750 0.750

Computed properties:
Total moment ... 0.0 μB per formula unit
Calculated density ... 6.29 g/cm³
V ... 16.27 A^3/atom


Arrangement C

# ScZnCuGe

ScZnCuGe after structural relaxation (PBE, OQMD via LeMat-Bulk).

Unit cell a=4.527 b=4.527 c=4.527 alpha=60.00 beta=60.00 gamma=60.00
Atoms (fractional coordinates):
Cu 0.750 0.750 0.750
Ge 0.250 0.250 0.250
Sc 0.500 0.500 0.500
Zn 0.000 0.000 0.000

Computed properties:
Total moment ... 0.0 μB per formula unit
Calculated density ... 6.24 g/cm³
V ... 16.40 A^3/atom


Tell me which of them is the least stable. Sure, it is arrangement A.


Arrangement A

# Cu2GeSe3

Cu2GeSe3 after structural relaxation (PBE, OQMD via LeMat-Bulk).

Unit cell a=6.894 b=6.894 c=6.561 alpha=90.00 beta=90.00 gamma=120.00
Atoms (fractional coordinates):
Cu 0.329 0.000 0.391
Cu 0.000 0.000 0.855
Cu 0.671 0.671 0.391
Cu 0.000 0.329 0.391
Se 0.667 0.333 0.486
Se 0.000 0.324 0.015
Se 0.676 0.676 0.015
Se 0.333 0.667 0.486
Se 0.324 0.000 0.015
Se 0.000 0.000 0.491
Ge 0.667 0.333 0.857
Ge 0.333 0.667 0.857

Computed properties:
Calculated density ... 5.37 g/cm³
V ... 22.51 A^3/atom


Arrangement B

# Cu2GeSe3

Cu2GeSe3 after structural relaxation (PBE, OQMD via LeMat-Bulk).

Unit cell a=6.844 b=6.844 c=6.567 alpha=90.00 beta=90.00 gamma=60.19
Atoms (fractional coordinates):
Se 0.837 0.502 0.385
Se 0.502 0.837 0.885
Se 0.163 0.498 0.885
Se 0.175 0.825 0.380
Se 0.825 0.175 0.880
Se 0.498 0.163 0.385
Ge 0.827 0.173 0.494
Ge 0.173 0.827 0.994
Cu 0.172 0.497 0.517
Cu 0.497 0.172 0.017
Cu 0.503 0.828 0.517
Cu 0.828 0.503 0.017

Computed properties:
Calculated density ... 5.43 g/cm³
V ... 22.24 A^3/atom


Tell me which of them is the least stable. Sure, it is arrangement A.